# 1
Here is crystalline MnFeNi3 at its relaxed geometry from the Alexandria database. Energies are from PBE-GGA.

**Formation energy from the elements**: 0.20 eV/f.u.
**Excess energy over the best structure of this formula in the dataset**: 0 kJ/mol of formula units
**Total magnetic moment**: 1.58 μB/atom

The structure in CIF format:
```
data_MnFeNi3
_cell_length_a 11.7377
_cell_length_b 4.1252
_cell_length_c 4.9226
_cell_angle_alpha 90.00
_cell_angle_beta 101.59
_cell_angle_gamma 90.00
_space_group_name_H-M_alt 'C 1 2/m 1'
_space_group_IT_number 12
loop_
_space_group_symop_operation_xyz
'x,y,z'
'-x,-y,-z'
'-x,y,-z'
'x,-y,z'
'x+1/2,y+1/2,z'
'-x+1/2,-y+1/2,-z'
'-x+1/2,y+1/2,-z'
'x+1/2,-y+1/2,z'
loop_
_atom_site_label
_atom_site_type_symbol
_atom_site_fract_x
_atom_site_fract_y
_atom_site_fract_z
Mn1 Mn 0.1031 0.0000 0.1419
Fe1 Fe 0.1920 0.5000 0.5543
Ni1 Ni 0.0007 0.5000 0.7519
Ni2 Ni 0.1009 0.0000 0.6360
Ni3 Ni 0.2025 0.5000 0.0665
```

# 2
Here is crystalline Mn2FeNi at its relaxed geometry from the Alexandria database. Energies are from PBE-GGA.

**Formation energy from the elements**: 0.12 eV/f.u.
**Excess energy over the best structure of this formula in the dataset**: 29 kJ/mol of formula units
**Total magnetic moment**: 0.51 μB/atom

The structure in CIF format:
```
data_Mn2FeNi
_cell_length_a 4.3665
_cell_length_b 2.5256
_cell_length_c 4.3822
_cell_angle_alpha 90.00
_cell_angle_beta 110.15
_cell_angle_gamma 90.00
_space_group_name_H-M_alt 'P 1 2/m 1'
_space_group_IT_number 10
loop_
_space_group_symop_operation_xyz
'x,y,z'
'-x,-y,-z'
'-x,y,-z'
'x,-y,z'
loop_
_atom_site_label
_atom_site_type_symbol
_atom_site_fract_x
_atom_site_fract_y
_atom_site_fract_z
Mn1 Mn 0.0000 0.0000 0.0000
Mn2 Mn 0.5000 0.5000 0.0000
Fe1 Fe 0.0000 0.5000 0.5000
Ni1 Ni 0.5000 0.0000 0.5000
```

# 3
Here is crystalline MnFeNi at its relaxed geometry from the Alexandria database. Energies are from PBE-GGA.

**Formation energy from the elements**: 1.38 eV/f.u.
**Excess energy over the best structure of this formula in the dataset**: 136 kJ/mol of formula units
**Total magnetic moment**: 2.51 μB/atom

The structure in CIF format:
```
data_MnFeNi
_cell_length_a 2.6819
_cell_length_b 3.9605
_cell_length_c 4.1777
_cell_angle_alpha 90.00
_cell_angle_beta 90.00
_cell_angle_gamma 90.00
_space_group_name_H-M_alt 'P m m m'
_space_group_IT_number 47
loop_
_space_group_symop_operation_xyz
'x,y,z'
'-x,-y,-z'
'-x,-y,z'
'x,y,-z'
'x,-y,-z'
'-x,y,z'
'-x,y,-z'
'x,-y,z'
loop_
_atom_site_label
_atom_site_type_symbol
_atom_site_fract_x
_atom_site_fract_y
_atom_site_fract_z
Mn1 Mn 0.0000 0.0000 0.0000
Fe1 Fe 0.0000 0.5000 0.5000
Ni1 Ni 0.5000 0.0000 0.5000
```

# 4
Here is crystalline Mn2FeNi at its relaxed geometry from the Alexandria database. Energies are from PBE-GGA.

**Formation energy from the elements**: 0.44 eV/f.u.
**Excess energy over the best structure of this formula in the dataset**: 59 kJ/mol of formula units
**Total magnetic moment**: 0.05 μB/atom

The structure in CIF format:
```
data_Mn2FeNi
_cell_length_a 8.2876
_cell_length_b 2.4598
_cell_length_c 4.3282
_cell_angle_alpha 90.00
_cell_angle_beta 99.77
_cell_angle_gamma 90.00
_space_group_name_H-M_alt 'C 1 2/m 1'
_space_group_IT_number 12
loop_
_space_group_symop_operation_xyz
'x,y,z'
'-x,-y,-z'
'-x,y,-z'
'x,-y,z'
'x+1/2,y+1/2,z'
'-x+1/2,-y+1/2,-z'
'-x+1/2,y+1/2,-z'
'x+1/2,-y+1/2,z'
loop_
_atom_site_label
_atom_site_type_symbol
_atom_site_fract_x
_atom_site_fract_y
_atom_site_fract_z
Mn1 Mn 0.2475 0.0000 0.2478
Fe1 Fe 0.0000 0.5000 0.0000
Ni1 Ni 0.0000 0.0000 0.5000
```

# 5
Here is crystalline MnFeNi4 at its relaxed geometry from the Alexandria database. Energies are from PBE-GGA.

**Formation energy from the elements**: 2.45 eV/f.u.
**Excess energy over the best structure of this formula in the dataset**: 255 kJ/mol of formula units
**Total magnetic moment**: 1.44 μB/atom

The structure in CIF format:
```
data_MnFeNi4
_cell_length_a 3.8671
_cell_length_b 3.8671
_cell_length_c 5.4138
_cell_angle_alpha 90.00
_cell_angle_beta 90.00
_cell_angle_gamma 90.00
_space_group_name_H-M_alt 'P 4/m m m'
_space_group_IT_number 123
_space_group_name_Hall '-P 4 2'
loop_
_atom_site_label
_atom_site_type_symbol
_atom_site_fract_x
_atom_site_fract_y
_atom_site_fract_z
Mn1 Mn 0.0000 0.0000 0.0000
Fe1 Fe 0.5000 0.5000 0.5000
Ni1 Ni 0.0000 0.5000 0.2542
```

# 6
Here is crystalline Mn3FeNi at its relaxed geometry from the Alexandria database. Energies are from PBE-GGA.

**Formation energy from the elements**: 8.84 eV/f.u.
**Excess energy over the best structure of this formula in the dataset**: 310 kJ/mol of formula units
**Total magnetic moment**: 0.00 μB/atom

The structure in CIF format:
```
data_Mn3FeNi
_cell_length_a 4.1072
_cell_length_b 4.1072
_cell_length_c 4.1072
_cell_angle_alpha 90.00
_cell_angle_beta 90.00
_cell_angle_gamma 90.00
_space_group_name_H-M_alt 'P m -3 m'
_space_group_IT_number 221
_space_group_name_Hall '-P 4 2 3'
loop_
_atom_site_label
_atom_site_type_symbol
_atom_site_fract_x
_atom_site_fract_y
_atom_site_fract_z
Mn1 Mn 0.0000 0.0000 0.5000
Fe1 Fe 0.5000 0.5000 0.5000
Ni1 Ni 0.0000 0.0000 0.0000
```

# 7
Here is crystalline MnFeNi at its relaxed geometry from the Alexandria database. Energies are from PBE-GGA.

**Formation energy from the elements**: 0.22 eV/f.u.
**Excess energy over the best structure of this formula in the dataset**: 24 kJ/mol of formula units
**Total magnetic moment**: 1.30 μB/atom

The structure in CIF format:
```
data_MnFeNi
_cell_length_a 2.4501
_cell_length_b 2.4501
_cell_length_c 11.1151
_cell_angle_alpha 90.00
_cell_angle_beta 90.00
_cell_angle_gamma 90.00
_space_group_name_H-M_alt 'I 4 m m'
_space_group_IT_number 107
_space_group_name_Hall 'I 4 -2'
loop_
_atom_site_label
_atom_site_type_symbol
_atom_site_fract_x
_atom_site_fract_y
_atom_site_fract_z
Mn1 Mn 0.0000 0.0000 0.0000
Fe1 Fe 0.0000 0.0000 0.3270
Ni1 Ni 0.0000 0.0000 0.6608
```

# 8
Here is crystalline Mn4Fe6Ni at its relaxed geometry from the Alexandria database. Energies are from PBE-GGA.

**Formation energy from the elements**: 2.84 eV/f.u.
**Total magnetic moment**: 0.43 μB/atom

The structure in CIF format:
```
data_Mn4Fe6Ni
_cell_length_a 7.4828
_cell_length_b 14.5606
_cell_length_c 4.7432
_cell_angle_alpha 90.00
_cell_angle_beta 90.00
_cell_angle_gamma 90.00
_space_group_name_H-M_alt 'C m c 21'
_space_group_IT_number 36
loop_
_space_group_symop_operation_xyz
'x,y,z'
'-x,-y,z+1/2'
'-x,y,z'
'x,-y,z+1/2'
'x+1/2,y+1/2,z'
'-x+1/2,-y+1/2,z+1/2'
'-x+1/2,y+1/2,z'
'x+1/2,-y+1/2,z+1/2'
loop_
_atom_site_label
_atom_site_type_symbol
_atom_site_fract_x
_atom_site_fract_y
_atom_site_fract_z
Mn1 Mn 0.0000 0.1558 0.0000
Mn2 Mn 0.0000 0.3076 0.8680
Mn3 Mn 0.1961 0.0555 0.7438
Fe1 Fe 0.0000 0.1786 0.4734
Fe2 Fe 0.0000 0.4843 0.0191
Fe3 Fe 0.2362 0.2686 0.1944
Fe4 Fe 0.2369 0.3977 0.7576
Ni1 Ni 0.0000 0.3580 0.3855
```

# 9
Here is crystalline Mn2FeNi at its relaxed geometry from the Alexandria database. Energies are from PBE-GGA.

**Formation energy from the elements**: 0.20 eV/f.u.
**Excess energy over the best structure of this formula in the dataset**: 36 kJ/mol of formula units
**Total magnetic moment**: 0.60 μB/atom

The structure in CIF format:
```
data_Mn2FeNi
_cell_length_a 2.4831
_cell_length_b 2.4831
_cell_length_c 7.1572
_cell_angle_alpha 90.00
_cell_angle_beta 90.00
_cell_angle_gamma 90.00
_space_group_name_H-M_alt 'P 4/m m m'
_space_group_IT_number 123
_space_group_name_Hall '-P 4 2'
loop_
_atom_site_label
_atom_site_type_symbol
_atom_site_fract_x
_atom_site_fract_y
_atom_site_fract_z
Mn1 Mn 0.0000 0.0000 0.2460
Fe1 Fe 0.5000 0.5000 0.0000
Ni1 Ni 0.5000 0.5000 0.5000
```

# 10
Here is crystalline MnFeNi at its relaxed geometry from the Alexandria database. Energies are from PBE-GGA.

**Formation energy from the elements**: 0.48 eV/f.u.
**Excess energy over the best structure of this formula in the dataset**: 49 kJ/mol of formula units
**Total magnetic moment**: 0.79 μB/atom

The structure in CIF format:
```
data_MnFeNi
_cell_length_a 3.9903
_cell_length_b 4.8379
_cell_length_c 6.8356
_cell_angle_alpha 90.00
_cell_angle_beta 90.00
_cell_angle_gamma 90.00
_space_group_name_H-M_alt 'I m m m'
_space_group_IT_number 71
_space_group_name_Hall '-I 2 2'
loop_
_atom_site_label
_atom_site_type_symbol
_atom_site_fract_x
_atom_site_fract_y
_atom_site_fract_z
Mn1 Mn 0.0000 0.0000 0.1606
Fe1 Fe 0.0000 0.5000 0.1689
Ni1 Ni 0.0000 0.2503 0.5000
```

# 11
Here is crystalline Mn2FeNi at its relaxed geometry from the Alexandria database. Energies are from PBE-GGA.

**Formation energy from the elements**: -0.17 eV/f.u.
**Excess energy over the best structure of this formula in the dataset**: 0 kJ/mol of formula units
**Total magnetic moment**: 0.40 μB/atom

The structure in CIF format:
```
data_Mn2FeNi
_cell_length_a 3.5418
_cell_length_b 3.5831
_cell_length_c 3.6181
_cell_angle_alpha 90.00
_cell_angle_beta 90.00
_cell_angle_gamma 90.00
_space_group_name_H-M_alt 'P m m m'
_space_group_IT_number 47
loop_
_space_group_symop_operation_xyz
'x,y,z'
'-x,-y,-z'
'-x,-y,z'
'x,y,-z'
'x,-y,-z'
'-x,y,z'
'-x,y,-z'
'x,-y,z'
loop_
_atom_site_label
_atom_site_type_symbol
_atom_site_fract_x
_atom_site_fract_y
_atom_site_fract_z
Mn1 Mn 0.0000 0.0000 0.0000
Mn2 Mn 0.5000 0.0000 0.5000
Fe1 Fe 0.0000 0.5000 0.5000
Ni1 Ni 0.5000 0.5000 0.0000
```

Q: Look up the total magnetic moment of the second one.
A: 0.51 μB/atom

Q: What is the total magnetic moment in the fifth record?
A: 1.44 μB/atom

Q: The lowest formation energy from the elements belongs to which entry?
A: number 11